Entry 1:
## TmAg2Au (GGA-PBE)

Data for a relaxed TmAg2Au crystal.

POSCAR file:
```
TmAg2Au
1.0
4.682 0.000 0.000
0.000 4.184 0.000
0.000 0.000 4.184
Tm Au Ag
1 1 2
Cartesian
2.341 0.000 0.000
2.341 2.092 2.092
0.000 2.092 0.000
0.000 0.000 2.092
```

Results
* magnetization: 0.00 μB per cell
* ΔH_f (0 K): -317 meV/atom
* excess energy over the best structure of this formula in the dataset: 0.0923 eV per atom
* SG: P4/mmm, No. 123

Entry 2:
## LaY2NiI (GGA-PBE)

Data for a relaxed LaY2NiI crystal.

POSCAR file:
```
LaY2NiI
1.0
5.413 0.000 0.000
0.000 5.383 0.000
0.000 0.000 5.413
Ni I Y La
1 1 2 1
Cartesian
0.000 0.000 0.000
2.706 2.691 2.706
0.000 0.000 2.706
2.706 0.000 0.000
0.000 2.691 0.000
```

Results
* magnetization: 0.00 μB per cell
* E_form (uncorrected): -255 meV/atom
* SG: P4/mmm, No. 123

Entry 3:
## CaLaNdEr (GGA-PBE)

Data for a relaxed CaLaNdEr crystal.

POSCAR file:
```
CaLaNdEr
1.0
5.872 0.000 0.000
2.936 5.085 0.000
2.936 1.695 4.794
Ca Nd Er La
1 1 1 1
Cartesian
2.936 1.695 1.199
0.000 0.000 0.000
8.807 5.085 3.596
5.872 3.390 2.397
```

Results
* magnetization: 0.00 μB per cell
* ΔH_f (0 K): 107 meV/atom
* SG: F-43m, No. 216

Entry 4:
## EuWN2 (GGA-PBE)

Data for a relaxed EuWN2 crystal.

POSCAR file:
```
EuWN2
1.0
-0.513 -1.505 2.297
0.514 -2.348 -1.423
5.798 0.347 1.521
Eu N W
1 2 1
Cartesian
2.900 -1.753 1.197
4.631 0.277 1.215
1.166 0.070 0.306
0.001 -1.926 0.437
```

Results
* magnetization: 6.85 μB per cell
* excess energy over the best structure of this formula in the dataset: 0.5922 eV per atom
* E_form (uncorrected): -85 meV/atom
* SG: P4/mmm, No. 123

Entry 5:
## Pr6Dy2Er3In (GGA-PBE)

Data for a relaxed Pr6Dy2Er3In crystal.

POSCAR file:
```
Pr6Dy2Er3In
1.0
-2.126 2.829 5.127
4.485 -4.302 0.433
7.286 8.801 -3.108
Dy Pr In Er
2 6 1 3
Cartesian
0.079 0.450 3.561
2.280 -1.923 1.999
6.040 6.240 -0.973
3.477 0.660 -0.172
8.332 4.332 1.087
3.606 1.088 3.426
1.313 2.995 1.365
6.168 6.667 2.624
0.000 0.000 0.000
4.823 3.664 1.226
2.625 6.034 2.787
7.020 1.293 -0.334
```

Results
* magnetization: 0.00 μB per cell
* ΔH_f (0 K): -32 meV/atom
* SG: C2/m, No. 12

Entry 6:
## Sc2PCl (GGA-PBE)

Data for a relaxed Sc2PCl crystal.

POSCAR file:
```
Sc2PCl
1.0
3.361 0.000 0.000
0.000 3.425 -0.018
0.000 0.045 6.979
Cl Sc P
1 2 1
Cartesian
1.680 0.868 1.740
0.000 0.886 3.823
0.000 0.895 6.637
1.680 2.603 5.221
```

Results
* magnetization: 1.53 μB per cell
* E_form (uncorrected): -1162 meV/atom
* SG: P2/m, No. 10